1.
Ho2Th2Sc3 after structural relaxation, computed with PBE.

```
Ho2Th2Sc3
1.0
4.682 0.000 1.316
1.652 4.777 3.108
-0.019 0.216 9.055
Ho Th Sc
2 2 3
Cartesian
1.275 2.777 4.451
5.041 2.216 9.028
2.172 3.603 10.247
4.144 1.390 3.232
2.341 0.000 0.658
3.079 4.222 7.021
3.237 0.771 6.458
```

The energy above the lowest structure with this stoichiometry comes out at 0 meV/atom. The formation energy comes out at 0.32 eV per formula unit.

2.
KInAs2 after structural relaxation, computed with PBE.

```
KInAs2
1.0
8.941 -0.032 -0.019
8.134 3.713 -0.019
8.134 1.753 3.273
As In K
2 1 1
Cartesian
24.803 5.347 3.183
13.010 2.805 1.669
6.302 1.359 0.809
18.907 4.076 2.426
```

The formation energy comes out at -0.08 eV per formula unit.

3.
Ac2Rh after structural relaxation, computed with PBE.

```
Ac2Rh
1.0
3.781 0.000 0.000
0.000 3.781 0.000
-1.890 -1.890 7.011
Ac Rh
2 1
Cartesian
1.890 1.890 1.741
0.000 0.000 5.270
0.000 0.000 0.000
```

The energy above the lowest structure with this stoichiometry comes out at 183 meV/atom. The formation energy comes out at -1.12 eV per formula unit.

4.
Si2SbW after structural relaxation, computed with PBE.

```
Si2SbW
1.0
-3.407 -0.512 -2.944
0.976 -3.277 -0.559
-2.660 -1.901 3.409
Sb Si W
1 2 1
Cartesian
-2.966 -4.140 0.665
0.217 -0.736 -0.123
-1.059 -1.853 1.547
-2.124 -1.551 -0.760
```

Its formation energy (no corrections) is 48 kJ/mol of atoms.

5.
CoNi2Ag after structural relaxation, computed with PBE.

```
CoNi2Ag
1.0
4.478 -0.225 -0.442
1.700 4.148 0.442
-2.855 -2.330 2.591
Ag Co Ni
1 1 2
Cartesian
2.356 -0.297 1.075
0.967 1.890 1.517
6.177 3.923 0.000
3.091 1.963 0.000
```

The energy above the lowest structure with this stoichiometry comes out at 121 meV/atom. The formation energy comes out at 1.13 eV per formula unit.

6.
MgPdPtAu after structural relaxation, computed with PBE.

```
MgPdPtAu
1.0
3.945 0.000 0.000
0.000 4.036 0.000
0.000 0.000 4.077
Mg Pd Pt Au
1 1 1 1
Cartesian
1.972 2.018 0.000
0.000 0.000 0.000
0.000 2.018 2.038
1.972 0.000 2.038
```

The energy above the lowest structure with this stoichiometry comes out at 0 meV/atom. The formation energy comes out at -2.15 eV per formula unit.